(1)
This record from Alexandria via LeMat-Bulk describes crystalline Sr2NbICl at its relaxed geometry. The functional is PBE-GGA.

Structure (extended XYZ):
```
5
Lattice="-4.543 1.521 3.883 -3.187 -0.813 -3.410 -0.429 -5.882 1.803" Properties=species:S:1:pos:R:3 pbc="T T T"
Sr -2.272 0.761 1.942
I -4.080 -2.587 1.138
Sr -0.214 -2.941 0.901
Cl -1.594 -0.406 -1.705
Nb 0.000 0.000 0.000
```

Summary:
The uncorrected formation energy is -97 kJ/mol of formula units. Its space group is P4/mmm.


(2)
This record from Alexandria via LeMat-Bulk describes crystalline Na5Tl12Cu3 at its relaxed geometry. The functional is PBE-GGA.

Structure (extended XYZ):
```
80
Lattice="-2.829 -14.799 -2.684 15.108 2.190 1.092 -6.721 4.185 13.097" Properties=species:S:1:pos:R:3 pbc="T T T"
Tl 4.290 3.197 10.180
Tl 6.902 2.150 8.152
Tl 8.461 -1.686 1.530
Cu -1.143 -5.290 8.555
Tl -2.883 -3.933 11.329
Tl 6.271 1.914 12.212
Tl -6.096 -10.409 5.924
Na 0.000 0.000 0.000
Tl 1.268 -11.621 1.325
Tl 7.860 -1.819 4.984
Tl 4.828 -1.904 5.697
Tl 0.399 -0.301 3.046
Cu 6.069 -1.292 7.998
Na -1.414 -7.400 -1.342
Tl -1.344 -10.575 3.353
Tl 7.848 -3.300 8.120
Tl -0.551 1.425 5.459
Na 8.457 1.362 5.395
Tl 5.102 -3.998 0.973
Cu 2.854 1.331 11.471
Tl -0.543 0.575 10.796
Tl 8.334 -5.241 5.287
Na -6.114 -7.164 9.584
Tl -2.290 -5.124 3.385
Na -3.361 2.092 6.549
Tl 8.441 -4.491 0.176
Tl 0.475 -3.737 3.754
Na 11.672 -1.260 1.921
Cu -1.339 -1.857 4.377
Tl 0.730 -6.520 5.808
Na 6.139 -6.305 -0.796
Tl 0.974 3.243 11.328
Na -4.775 -5.307 5.207
Na 4.193 3.187 7.095
Tl 11.653 1.984 5.581
Tl -2.096 -8.127 1.580
Cu 6.701 -3.135 2.950
Tl 0.456 -4.427 10.532
Tl 6.108 -9.850 6.046
Na 3.682 -3.945 10.601
Na -2.899 -9.786 6.110
Na -4.213 -2.137 8.953
Tl 4.583 -11.668 0.177
Cu -2.458 2.359 11.398
Tl -0.713 -10.338 -0.707
Cu 6.897 -6.568 7.128
Tl 5.159 -8.123 8.459
Tl 1.610 -8.760 3.255
Tl 3.948 0.336 8.250
Na 1.926 -8.442 8.157
Na 3.632 0.018 3.348
Cu -2.267 -11.629 1.062
Tl 5.202 -0.902 0.641
Tl -2.776 -3.183 6.218
Tl 7.653 -0.297 9.925
Tl -3.739 1.055 9.431
Tl 0.176 -3.388 7.192
Na 9.771 -6.287 2.552
Tl -6.858 -10.274 8.941
Na 2.779 -4.212 5.753
Tl -2.302 -6.606 6.521
Tl 5.382 -5.036 4.313
Cu 8.015 -10.784 0.107
Tl -5.918 1.617 11.585
Tl 6.100 -9.000 0.709
Na 0.758 -0.263 7.924
Tl 12.416 1.850 2.564
Tl 11.476 -10.041 -0.080
Na 7.554 1.095 0.546
Cu 2.704 -9.755 0.034
Cu 7.825 3.205 10.443
Tl -2.904 -6.738 9.975
Tl 0.356 -7.522 10.864
Tl 5.083 -4.687 7.751
Cu -0.511 -7.133 3.507
Na 1.876 -4.479 0.904
Na 4.800 -8.161 3.581
Tl 4.433 -0.811 11.105
Tl 9.297 -9.479 2.074
Tl 1.125 -7.613 0.400
```

Summary:
Its energy relative to the elements is 0.233 eV per atom. Its space group is Ia-3d.


(3)
This record from Alexandria via LeMat-Bulk describes crystalline La3AuS at its relaxed geometry. The functional is PBE-GGA.

Structure (extended XYZ):
```
5
Lattice="5.438 0.000 0.000 0.000 5.438 0.000 0.000 0.000 5.438" Properties=species:S:1:pos:R:3 pbc="T T T"
S 0.000 0.000 0.000
La 0.000 2.719 0.000
La 2.719 0.000 0.000
Au 2.719 2.719 2.719
La 0.000 0.000 2.719
```

Summary:
The uncorrected formation energy is -387 kJ/mol of formula units. Its space group is Pm-3m. The calculation puts the energy above the lowest structure with this stoichiometry at 0.000 eV per atom.


(4)
This record from Alexandria via LeMat-Bulk describes crystalline LiDySnIr at its relaxed geometry. The functional is PBE-GGA.

Structure (extended XYZ):
```
4
Lattice="4.737 0.000 0.000 2.368 4.102 0.000 2.368 1.367 3.867" Properties=species:S:1:pos:R:3 pbc="T T T"
Dy 7.105 4.102 2.901
Sn 2.368 1.367 0.967
Ir 0.000 0.000 0.000
Li 4.737 2.735 1.934
```

Summary:
Its energy relative to the elements is -0.667 eV per atom. Its space group is F-43m.


(5)
This record from Alexandria via LeMat-Bulk describes crystalline MgCdCl at its relaxed geometry. The functional is PBE-GGA.

Structure (extended XYZ):
```
6
Lattice="-2.327 -0.385 2.432 2.834 -1.852 0.059 7.361 11.549 8.870" Properties=species:S:1:pos:R:3 pbc="T T T"
Cd 4.171 6.619 7.397
Mg -0.978 -0.419 1.357
Cd 1.979 3.180 4.756
Cl 1.449 0.199 1.418
Cl 7.397 9.532 8.586
Mg 4.792 4.414 5.283
```

Summary:
The uncorrected formation energy is -210 kJ/mol of formula units. Its space group is Amm2. The calculation puts the energy above the lowest structure with this stoichiometry at 0.000 eV per atom.


Raw total energy, respectively: -3.5666 -2.1307 -5.2399 -5.5115 -2.1764 eV per atom.
Total magnetization, respectively: 0.00 0.00 0.00 0.00 0.00 μB/f.u..